TePtCl2: single point on PBEsol structure, meta-GGA SCAN.

CIF file:
```
data_TePtCl2
_chemical_formula_sum 'Te2 Pt2 Cl4'
_space_group_name_H-M_alt 'C 1 m 1'
_space_group_IT_number 8
_cell_length_a 6.5463
_cell_length_b 3.7801
_cell_length_c 7.9024
_cell_angle_alpha 90.00
_cell_angle_beta 105.78
_cell_angle_gamma 90.00
loop_
_space_group_symop_operation_xyz
'x,y,z'
'x,-y,z'
'x+1/2,y+1/2,z'
'x+1/2,-y+1/2,z'
loop_
_atom_site_label
_atom_site_type_symbol
_atom_site_fract_x
_atom_site_fract_y
_atom_site_fract_z
Te1 Te 0.0000 0.0000 0.0000
Pt1 Pt 0.2297 0.5000 0.1923
Cl1 Cl 0.2521 0.0000 0.7527
Cl2 Cl 0.4548 0.0000 0.3703
```

Computed properties:
- VASP energy: -31.41 eV per atom
- Raw formation energy: -0.564 eV per atom



TePtCl2: single point on PBEsol structure, meta-GGA SCAN.

CIF file:
```
data_TePtCl2
_chemical_formula_sum 'Te2 Pt2 Cl4'
_space_group_name_H-M_alt 'C m m m'
_space_group_IT_number 65
_space_group_name_Hall '-C 2 2'
_cell_length_a 5.8625
_cell_length_b 8.6033
_cell_length_c 3.0443
_cell_angle_alpha 90.00
_cell_angle_beta 90.00
_cell_angle_gamma 90.00
loop_
_atom_site_label
_atom_site_type_symbol
_atom_site_fract_x
_atom_site_fract_y
_atom_site_fract_z
Te1 Te 0.0000 0.0000 0.0000
Pt1 Pt 0.0000 0.5000 0.0000
Cl1 Cl 0.2500 0.2500 0.5000
```

Computed properties:
- VASP energy: -30.20 eV per atom
- Raw formation energy: 0.645 eV per atom